1.
Here is SrSe2Cl at its PBEsol-relaxed geometry from Alexandria via LeMat-Bulk. Energies are from meta-GGA SCAN.

Unit cell a=4.136 b=4.776 c=6.465 alpha=103.72 beta=90.00 gamma=115.66
Positions (direct):
Sr 0.498 0.997 0.493
Se 0.988 0.977 0.890
Se 0.239 0.479 0.808
Cl 0.774 0.547 0.309

Properties
* offset from the most stable computed form: 1.074 kcal/mol of atoms
* E_form (uncorrected): -5.6 eV/f.u.
* space-group type: Cm, No. 8



2.
Here is SrAgRu2 at its PBEsol-relaxed geometry from Alexandria via LeMat-Bulk. Energies are from meta-GGA SCAN.

Unit cell a=3.124 b=3.124 c=7.667 alpha=90.00 beta=90.00 gamma=90.00
Positions (direct):
Ag 0.500 0.500 0.798
Ru 0.000 0.000 0.030
Ru 0.500 0.500 0.185
Sr 0.000 0.000 0.486

Properties
* offset from the most stable computed form: 0.000 kcal/mol of atoms
* calculated formation energy: 0.414 eV per atom
* space-group type: P4mm, No. 99



3.
Here is Ta2Rh3 at its PBEsol-relaxed geometry from Alexandria via LeMat-Bulk. Energies are from meta-GGA SCAN.

Unit cell a=4.931 b=5.294 c=7.005 alpha=99.43 beta=110.61 gamma=62.24
Positions (direct):
Rh 0.747 0.891 0.203
Rh 0.435 0.109 0.797
Rh 0.794 0.391 0.297
Rh 0.888 0.609 0.703
Rh 0.062 0.000 0.000
Rh 0.312 0.500 0.500
Ta 0.223 0.420 0.108
Ta 0.534 0.580 0.892
Ta 0.364 0.920 0.392
Ta 0.892 0.080 0.608

Properties
* offset from the most stable computed form: 0.000 kcal/mol of atoms
* calculated formation energy: -0.552 eV per atom
* space-group type: Fdd2, No. 43



4.
Here is Pt2SeBr at its PBEsol-relaxed geometry from Alexandria via LeMat-Bulk. Energies are from meta-GGA SCAN.

Unit cell a=6.555 b=6.027 c=6.555 alpha=122.95 beta=90.00 gamma=122.95
Positions (direct):
Se 0.750 0.500 0.250
Se 0.500 0.000 0.500
Br 0.250 0.500 0.750
Br 0.000 0.000 0.000
Pt 0.404 0.250 0.375
Pt 0.846 0.250 0.875
Pt 0.125 0.750 0.596
Pt 0.625 0.750 0.154

Properties
* offset from the most stable computed form: 12.718 kcal/mol of atoms
* E_form (uncorrected): 1.0 eV/f.u.
* space-group type: I-42d, No. 122



5.
Here is SnMo3C at its PBEsol-relaxed geometry from Alexandria via LeMat-Bulk. Energies are from meta-GGA SCAN.

Unit cell a=4.170 b=4.170 c=4.170 alpha=90.00 beta=90.00 gamma=90.00
Positions (direct):
C 0.000 0.000 0.000
Mo 0.000 0.500 0.000
Mo 0.000 0.000 0.500
Mo 0.500 0.000 0.000
Sn 0.500 0.500 0.500

Properties
* calculated formation energy: 0.191 eV per atom
* space-group type: Pm-3m, No. 221



6.
Here is TaOsW2 at its PBEsol-relaxed geometry from Alexandria via LeMat-Bulk. Energies are from meta-GGA SCAN.

Unit cell a=2.764 b=5.189 c=5.200 alpha=116.72 beta=99.96 gamma=100.72
Positions (direct):
Os 0.500 0.000 0.000
Ta 0.000 0.500 0.000
W 0.000 0.000 0.500
W 0.500 0.500 0.500

Properties
* calculated formation energy: -0.047 eV per atom
* space-group type: C2/m, No. 12



7.
Here is NbGeH3 at its PBEsol-relaxed geometry from Alexandria via LeMat-Bulk. Energies are from meta-GGA SCAN.

Unit cell a=3.617 b=3.617 c=3.617 alpha=90.00 beta=90.00 gamma=90.00
Positions (direct):
H 0.000 0.500 0.000
H 0.000 0.000 0.500
H 0.500 0.000 0.000
Nb 0.000 0.000 0.000
Ge 0.500 0.500 0.500

Properties
* E_tot: -0.895 Ry per atom
* space-group type: Pm-3m, No. 221



8.
Here is NiWO2 at its PBEsol-relaxed geometry from Alexandria via LeMat-Bulk. Energies are from meta-GGA SCAN.

Unit cell a=2.884 b=2.884 c=6.303 alpha=76.78 beta=76.78 gamma=60.00
Positions (direct):
Ni 0.500 0.500 0.500
O 0.895 0.895 0.314
O 0.105 0.105 0.686
W 0.000 0.000 0.000

Properties
* E_form (uncorrected): -4.4 eV/f.u.
* space-group type: R-3m, No. 166



9.
Here is TaTiS2 at its PBEsol-relaxed geometry from Alexandria via LeMat-Bulk. Energies are from meta-GGA SCAN.

Unit cell a=5.501 b=5.501 c=6.481 alpha=115.11 beta=115.11 gamma=90.00
Positions (direct):
S 0.380 0.875 0.250
S 0.870 0.375 0.250
S 0.125 0.130 0.750
S 0.625 0.620 0.750
Ti 0.750 0.250 0.500
Ti 0.500 0.500 0.000
Ta 0.250 0.750 0.500
Ta 0.000 0.000 0.000

Properties
* E_form (uncorrected): -2.2 eV/f.u.
* space-group type: I-42d, No. 122



10.
Here is CrTcN2 at its PBEsol-relaxed geometry from Alexandria via LeMat-Bulk. Energies are from meta-GGA SCAN.

Unit cell a=2.660 b=2.660 c=6.529 alpha=78.25 beta=78.25 gamma=60.00
Positions (direct):
Cr 0.500 0.500 0.500
Tc 0.000 0.000 0.000
N 0.896 0.896 0.313
N 0.104 0.104 0.687

Properties
* offset from the most stable computed form: 0.000 kcal/mol of atoms
* E_form (uncorrected): 0.1 eV/f.u.
* space-group type: R-3m, No. 166



11.
Here is MgBiN2 at its PBEsol-relaxed geometry from Alexandria via LeMat-Bulk. Energies are from meta-GGA SCAN.

Unit cell a=4.182 b=4.182 c=4.182 alpha=60.00 beta=60.00 gamma=60.00
Positions (direct):
Mg 0.000 0.000 0.000
Bi 0.500 0.500 0.500
N 0.250 0.250 0.250
N 0.750 0.750 0.750

Properties
* E_form (uncorrected): 3.8 eV/f.u.
* space-group type: Fm-3m, No. 225



12.
Here is OsPtNO2 at its PBEsol-relaxed geometry from Alexandria via LeMat-Bulk. Energies are from meta-GGA SCAN.

Unit cell a=3.753 b=4.006 c=4.006 alpha=90.00 beta=90.00 gamma=90.00
Positions (direct):
Os 0.500 0.500 0.500
O 0.000 0.000 0.500
O 0.000 0.500 0.000
Pt 0.000 0.000 0.000
N 0.500 0.000 0.000

Properties
* E_form (uncorrected): 7.0 eV/f.u.
* space-group type: P4/mmm, No. 123



13.
Here is Y5Cd at its PBEsol-relaxed geometry from Alexandria via LeMat-Bulk. Energies are from meta-GGA SCAN.

Unit cell a=3.602 b=5.460 c=8.945 alpha=90.00 beta=101.62 gamma=90.00
Positions (direct):
Y 0.219 0.500 0.439
Y 0.343 0.000 0.686
Y 0.546 0.500 0.091
Y 0.668 0.000 0.335
Y 0.889 0.500 0.777
Cd 0.002 0.000 0.005

Properties
* offset from the most stable computed form: 1.457 kcal/mol of atoms
* calculated formation energy: -0.067 eV per atom
* space-group type: Amm2, No. 38



14.
Here is Ca4Pt at its PBEsol-relaxed geometry from Alexandria via LeMat-Bulk. Energies are from meta-GGA SCAN.

Unit cell a=3.615 b=6.849 c=6.849 alpha=86.01 beta=74.70 gamma=74.70
Positions (direct):
Ca 0.747 0.691 0.815
Ca 0.562 0.185 0.691
Ca 0.253 0.309 0.185
Ca 0.438 0.815 0.309
Pt 0.000 0.000 0.000

Properties
* calculated formation energy: -0.481 eV per atom
* space-group type: I4/m, No. 87



15.
Here is Sb2TePd2 at its PBEsol-relaxed geometry from Alexandria via LeMat-Bulk. Energies are from meta-GGA SCAN.

Unit cell a=3.129 b=8.248 c=8.248 alpha=90.00 beta=90.00 gamma=90.00
Positions (direct):
Sb 0.000 0.334 0.834
Sb 0.000 0.834 0.666
Sb 0.000 0.666 0.166
Sb 0.000 0.166 0.334
Te 0.000 0.000 0.000
Te 0.000 0.500 0.500
Pd 0.500 0.119 0.619
Pd 0.500 0.619 0.881
Pd 0.500 0.881 0.381
Pd 0.500 0.381 0.119

Properties
* E_form (uncorrected): -0.3 eV/f.u.
* space-group type: P4/mbm, No. 127



16.
Here is Dy2ZrS5 at its PBEsol-relaxed geometry from Alexandria via LeMat-Bulk. Energies are from meta-GGA SCAN.

Unit cell a=7.149 b=7.655 c=11.382 alpha=90.00 beta=90.00 gamma=90.00
Positions (direct):
Dy 0.476 0.503 0.321
Dy 0.024 0.997 0.821
Dy 0.524 0.003 0.679
Dy 0.976 0.497 0.179
Dy 0.524 0.497 0.679
Dy 0.976 0.003 0.179
Dy 0.476 0.997 0.321
Dy 0.024 0.503 0.821
Zr 0.921 0.250 0.493
Zr 0.579 0.250 0.993
Zr 0.079 0.750 0.507
Zr 0.421 0.750 0.007
S 0.163 0.040 0.594
S 0.337 0.460 0.094
S 0.837 0.540 0.406
S 0.663 0.960 0.906
S 0.837 0.960 0.406
S 0.663 0.540 0.906
S 0.163 0.460 0.594
S 0.337 0.040 0.094
S 0.169 0.250 0.318
S 0.331 0.250 0.818
S 0.831 0.750 0.682
S 0.669 0.750 0.182
S 0.548 0.250 0.497
S 0.952 0.250 0.997
S 0.452 0.750 0.503
S 0.048 0.750 0.003
S 0.809 0.250 0.710
S 0.691 0.250 0.210
S 0.191 0.750 0.290
S 0.309 0.750 0.790

Properties
* E_form (uncorrected): -17.2 eV/f.u.
* space-group type: Pnma, No. 62



17.
Here is In3AgCl at its PBEsol-relaxed geometry from Alexandria via LeMat-Bulk. Energies are from meta-GGA SCAN.

Unit cell a=5.464 b=5.464 c=5.464 alpha=90.00 beta=90.00 gamma=90.00
Positions (direct):
Cl 0.000 0.000 0.000
Ag 0.500 0.500 0.500
In 0.000 0.500 0.000
In 0.000 0.000 0.500
In 0.500 0.000 0.000

Properties
* E_form (uncorrected): 1.8 eV/f.u.
* space-group type: Pm-3m, No. 221



18.
Here is CsAs2Br2 at its PBEsol-relaxed geometry from Alexandria via LeMat-Bulk. Energies are from meta-GGA SCAN.

Unit cell a=3.392 b=9.264 c=9.264 alpha=90.00 beta=90.00 gamma=90.00
Positions (direct):
Cs 0.000 0.000 0.000
Cs 0.000 0.500 0.500
As 0.500 0.223 0.723
As 0.500 0.723 0.777
As 0.500 0.777 0.277
As 0.500 0.277 0.223
Br 0.000 0.375 0.875
Br 0.000 0.875 0.625
Br 0.000 0.625 0.125
Br 0.000 0.125 0.375

Properties
* E_form (uncorrected): 0.3 eV/f.u.
* space-group type: P4/mbm, No. 127



19.
Here is GaBr2Cl at its PBEsol-relaxed geometry from Alexandria via LeMat-Bulk. Energies are from meta-GGA SCAN.

Unit cell a=4.029 b=4.029 c=8.988 alpha=77.05 beta=77.05 gamma=60.00
Positions (direct):
Ga 0.000 0.000 0.000
Br 0.915 0.915 0.254
Br 0.085 0.085 0.746
Cl 0.500 0.500 0.500

Properties
* E_form (uncorrected): -0.1 eV/f.u.
* space-group type: R-3m, No. 166



20.
Here is MgFe2Hg at its PBEsol-relaxed geometry from Alexandria via LeMat-Bulk. Energies are from meta-GGA SCAN.

Unit cell a=3.150 b=4.424 c=5.115 alpha=115.62 beta=107.93 gamma=90.00
Positions (direct):
Fe 0.028 0.528 0.056
Fe 0.723 0.723 0.446
Hg 0.487 0.987 0.975
Mg 0.261 0.261 0.523

Properties
* calculated formation energy: 0.166 eV per atom
* space-group type: Imm2, No. 44